78
Lattice="6.895 -0.007 0.000 -0.723 6.857 0.000 0.000 0.000 26.734" Properties=species:S:1:pos:R:3 comment="TmAl10Re2, PBEsol geometry, DFT meta-GGA SCAN" energy_ry_per_atom=-1.5646 delta_e_f_kcal_per_mol_atoms=-9.20 n_ef_per_ev_cell=23.7 mass_density_g_cm3=6.4 pbc="T T T"
Al -0.017 6.221 8.030
Re 4.597 5.143 17.730
Al 0.575 2.608 11.146
Al 0.533 5.726 14.274
Re -0.361 3.429 13.367
Al 1.223 3.224 15.531
Al 4.950 3.626 2.164
Al 2.100 4.314 21.962
Al 6.189 0.629 18.704
Tm 5.945 0.849 15.634
Al 6.328 3.229 17.942
Al 2.349 4.089 9.795
Al -0.155 3.621 8.792
Al 4.021 2.583 26.141
Al 3.638 6.007 11.146
Re 4.638 5.105 9.004
Al 4.908 5.447 13.367
Al 2.631 1.227 6.684
Al 3.617 0.221 17.942
Al 2.152 4.267 12.774
Al 4.073 2.536 4.772
Al 2.152 4.267 0.593
Re 4.597 5.143 22.371
Al 5.639 1.124 0.907
Al 5.225 4.106 6.684
Al 0.227 6.001 22.848
Al 5.597 4.242 15.588
Al 0.227 6.001 17.253
Tm 3.984 2.616 20.051
Al 4.908 5.447 0.000
Al 5.945 0.849 3.886
Al 4.950 3.626 11.203
Al 2.534 0.843 24.513
Re 3.448 -0.004 0.000
Re 4.638 5.105 4.363
Tm 0.228 6.001 2.267
Al 0.533 5.726 25.827
Al -0.017 6.221 5.337
Al 0.575 2.608 2.221
Al 3.080 1.551 2.164
Re 1.576 1.707 4.363
Al 3.617 0.221 22.159
Re 1.576 1.707 9.004
Al 3.823 2.761 16.939
Al 2.349 4.089 3.572
Al 1.223 3.224 24.570
Al 6.189 0.629 21.397
Al 3.638 6.007 2.221
Al 3.093 5.299 15.531
Re 1.534 1.744 22.371
Al 2.100 4.314 18.139
Al 6.328 3.229 22.159
Re 1.534 1.744 17.730
Al 5.945 0.849 9.481
Al 1.787 0.248 20.051
Al 4.021 2.583 13.961
Al 3.093 5.299 24.570
Al 5.597 4.242 24.513
Al 2.534 0.843 15.588
Tm 0.228 6.001 11.101
Al 1.264 1.403 0.000
Tm 5.945 0.849 24.468
Al 3.080 1.551 11.203
Al 2.555 6.628 8.792
Al 4.385 6.602 6.684
Al 4.073 2.536 8.595
Al 1.264 1.403 13.367
Al 5.639 1.124 12.460
Tm 2.189 4.234 6.684
Al 0.947 2.744 20.051
Re 3.448 -0.004 13.367
Al 6.111 5.046 20.051
Al 3.541 5.623 20.051
Re -0.361 3.429 0.000
Al -0.155 3.621 4.575
Al 3.823 2.761 23.162
Al 0.061 1.803 6.684
Al 2.555 6.628 4.575